Entry 1:
A relaxed Ba2GaTcO6 crystal. Source: OQMD, functional GGA-PBE.

abc: 5.6785 5.6785 13.9330
angles: 90.00 90.00 120.00
Space group R-3 (No. 148, hexagonal axes)
Symmetry-distinct sites (fractional):
Ba 0.0000 0.0000 0.2501 (multiplicity 6)
Ga 0.0000 0.0000 0.0000 (multiplicity 3)
Tc 0.0000 0.0000 0.5000 (multiplicity 3)
O 0.0025 0.5004 0.2496 (multiplicity 18)

Values from the calculation:
Total DFT energy (no corrections), eV/cell: -203.69
Magnetic moment, μB per atom: 0.20
Crystal system: trigonal

Entry 2:
A relaxed BaYZn3GaO7 crystal. Source: OQMD, functional GGA-PBE.

abc: 6.3700 6.3700 10.3107
angles: 90.00 90.00 120.00
Space group P6_3mc (No. 186)
Symmetry-distinct sites (fractional):
Ba 0.3333 0.6667 0.0000 (multiplicity 2)
Y 0.3333 0.6667 0.3602 (multiplicity 2)
Zn 0.1708 0.3417 0.6761 (multiplicity 6)
Ga 0.0000 0.0000 0.4258 (multiplicity 2)
O 0.0000 0.0000 0.2443 (multiplicity 2)
O 0.0105 0.5052 0.2312 (multiplicity 6)
O 0.1593 0.3185 0.4836 (multiplicity 6)

Values from the calculation:
Total DFT energy (no corrections), eV/cell: -155.84
Magnetic moment, μB per atom: 0.00
Crystal system: hexagonal

Entry 3:
A relaxed BaZnGa2Os crystal. Source: OQMD, functional GGA-PBE.

abc: 4.856 4.856 5.002
angles: 90.00 90.00 90.00
Space group P4/mmm (No. 123)
Symmetry-distinct sites (fractional):
Ba 0.000 0.000 0.000 (multiplicity 1)
Zn 0.500 0.500 0.000 (multiplicity 1)
Ga 0.000 0.500 0.500 (multiplicity 2)
Os 0.500 0.500 0.500 (multiplicity 1)

Values from the calculation:
Total DFT energy (no corrections), eV/cell: -22.18
Magnetic moment, μB per atom: 0.00
Crystal system: tetragonal

Entry 4:
A relaxed BaZn2GaP crystal. Source: OQMD, functional GGA-PBE.

abc: 4.557 4.557 10.297
angles: 90.00 90.00 90.00
Space group I4mm (No. 107)
Symmetry-distinct sites (fractional):
Ba 0.000 0.000 0.000 (multiplicity 2)
Zn 0.000 0.500 0.252 (multiplicity 4)
Ga 0.000 0.000 0.636 (multiplicity 2)
P 0.000 0.000 0.396 (multiplicity 2)

Values from the calculation:
Total DFT energy (no corrections), eV/cell: -30.15
Crystal system: tetragonal

Entry 5:
A relaxed BaPaGa crystal. Source: OQMD, functional GGA-PBE.

abc: 7.357 7.357 7.357
angles: 90.00 90.00 90.00
Space group F-43m (No. 216)
Symmetry-distinct sites (fractional):
Ba 0.000 0.000 0.000 (multiplicity 4)
Pa 0.000 0.000 0.500 (multiplicity 4)
Ga 0.250 0.250 0.250 (multiplicity 4)

Values from the calculation:
Excess energy over the best structure of this formula in the dataset, eV per atom: 0.000
Magnetic moment, μB per atom: 0.59
Crystal system: cubic

Entry 6:
A relaxed BaGaPt2Pb crystal. Source: OQMD, functional GGA-PBE.

abc: 4.716 4.716 10.775
angles: 90.00 90.00 90.00
Space group P4/nmm (No. 129, origin choice 2)
Symmetry-distinct sites (fractional):
Ba 0.250 0.250 0.230 (multiplicity 2)
Ga 0.250 0.250 0.894 (multiplicity 2)
Pt 0.250 0.250 0.659 (multiplicity 2)
Pt 0.250 0.750 0.000 (multiplicity 2)
Pb 0.250 0.750 0.500 (multiplicity 2)

Values from the calculation:
Total DFT energy (no corrections), eV/cell: -48.28
Magnetic moment, μB per atom: 0.00
Crystal system: tetragonal

Entry 7:
A relaxed BaGa2Pd2 crystal. Source: OQMD, functional GGA-PBE.

abc: 4.468 4.468 11.302
angles: 90.00 90.00 90.00
Space group I4/mmm (No. 139)
Symmetry-distinct sites (fractional):
Ba 0.000 0.000 0.000 (multiplicity 2)
Ga 0.000 0.000 0.359 (multiplicity 4)
Pd 0.000 0.500 0.250 (multiplicity 4)

Values from the calculation:
Total DFT energy (no corrections), eV/cell: -43.33
Crystal system: tetragonal

Entry 8:
A relaxed BaGaPd crystal. Source: OQMD, functional GGA-PBE.

abc: 7.115 7.115 7.115
angles: 90.00 90.00 90.00
Space group F-43m (No. 216)
Symmetry-distinct sites (fractional):
Ba 0.000 0.000 0.000 (multiplicity 4)
Ga 0.000 0.000 0.500 (multiplicity 4)
Pd 0.250 0.250 0.250 (multiplicity 4)

Values from the calculation:
Total DFT energy (no corrections), eV/cell: -44.06
Crystal system: cubic

| no. | volume (Å³ per cell) |
| --- | --- |
| 1 | 389 |
| 2 | 362 |
| 3 | 118 |
| 4 | 214 |
| 5 | 398 |
| 6 | 240 |
| 7 | 226 |
| 8 | 360 |